No. 1
Compound: Pr5AgRh4
Source: Alexandria
Functional: PBE
Structure: relaxed

The space group is P4/mmm (No. 123) and the conventional cell measures 3.592, 3.592 and 18.324 Å, with angles of 90.00, 90.00 and 90.00 degrees. The distinct sites, in fractional coordinates, are Pr at (0.000, 0.000, 0.000), Pr at (0.000, 0.000, 0.193), Pr at (0.000, 0.000, 0.384), Ag at (0.500, 0.500, 0.500), Rh at (0.500, 0.500, 0.098) and Rh at (0.500, 0.500, 0.294).

Its formation energy is -0.540 eV/atom. For the total energy, the calculation gives -6.156 eV/atom.

=====

No. 2
Compound: Pr4AgRh2
Source: Alexandria
Functional: PBE
Structure: relaxed

The space group is R-3m (No. 166, hexagonal axes) and the conventional cell measures 4.6788, 4.6788 and 31.1867 Å, with angles of 90.00, 90.00 and 120.00 degrees. The distinct sites, in fractional coordinates, are Pr at (0.0000, 0.0000, 0.1152), Pr at (0.0000, 0.0000, 0.2971), Ag at (0.0000, 0.0000, 0.5000) and Rh at (0.0000, 0.0000, 0.4063).

Its formation energy is -0.425 eV/atom. The relative energy among the computed polymorphs is 0.029 eV per atom. For the total energy, the calculation gives -5.664 eV/atom.

=====

No. 3
Compound: Pr11Ag9Rh4
Source: Alexandria
Functional: PBE
Structure: relaxed

The space group is Cmmm (No. 65) and the conventional cell measures 14.591, 21.858 and 3.804 Å, with angles of 90.00, 90.00 and 90.00 degrees. The distinct sites, in fractional coordinates, are Pr at (0.000, 0.000, 0.000), Pr at (0.000, 0.167, 0.000), Pr at (0.000, 0.367, 0.000), Pr at (0.201, 0.500, 0.000), Pr at (0.247, 0.168, 0.000), Ag at (0.000, 0.500, 0.500), Ag at (0.105, 0.262, 0.500), Ag at (0.140, 0.072, 0.500) and Rh at (0.147, 0.402, 0.500).

Its formation energy is -0.392 eV/atom. For the total energy, the calculation gives -4.877 eV/atom.

=====

No. 4
Compound: PrAg4Rh
Source: Alexandria
Functional: PBE
Structure: relaxed

The space group is F-43m (No. 216) and the conventional cell measures 7.803, 7.803 and 7.803 Å, with angles of 90.00, 90.00 and 90.00 degrees. The distinct sites, in fractional coordinates, are Pr at (0.000, 0.000, 0.000), Ag at (0.124, 0.124, 0.624) and Rh at (0.250, 0.250, 0.250).

Its formation energy is -0.068 eV/atom. For the total energy, the calculation gives -3.990 eV/atom.

=====

No. 5
Compound: Pr5Ag2Rh2
Source: Alexandria
Functional: PBE
Structure: relaxed

The space group is Cmce (No. 64) and the conventional cell measures 16.040, 7.781 and 7.896 Å, with angles of 90.00, 90.00 and 90.00 degrees. The distinct sites, in fractional coordinates, are Pr at (0.000, 0.000, 0.000), Pr at (0.126, 0.171, 0.329), Ag at (0.212, 0.000, 0.000) and Rh at (0.000, 0.133, 0.632).

Its formation energy is -0.409 eV/atom. The relative energy among the computed polymorphs is 0.000 eV per atom. For the total energy, the calculation gives -5.332 eV/atom.

=====

No. 6
Compound: Pr5AgRh2
Source: Alexandria
Functional: PBE
Structure: relaxed

The space group is I4/mcm (No. 140) and the conventional cell measures 8.023, 8.023 and 13.893 Å, with angles of 90.00, 90.00 and 90.00 degrees. The distinct sites, in fractional coordinates, are Pr at (0.000, 0.000, 0.000), Pr at (0.162, 0.338, 0.136), Ag at (0.000, 0.000, 0.250) and Rh at (0.136, 0.364, 0.500).

Its formation energy is -0.440 eV/atom. The relative energy among the computed polymorphs is 0.000 eV per atom. For the total energy, the calculation gives -5.621 eV/atom.

=====

No. 7
Compound: Pr12AgRh6
Source: Alexandria
Functional: PBE
Structure: relaxed

The space group is Im-3 (No. 204) and the conventional cell measures 10.274, 10.274 and 10.274 Å, with angles of 90.00, 90.00 and 90.00 degrees. The distinct sites, in fractional coordinates, are Pr at (0.000, 0.305, 0.185), Ag at (0.000, 0.000, 0.000) and Rh at (0.000, 0.133, 0.500).

Its formation energy is -0.454 eV/atom. The relative energy among the computed polymorphs is 0.000 eV per atom. For the total energy, the calculation gives -5.944 eV/atom.

=====

No. 8
Compound: PrAgRh2
Source: Alexandria
Functional: PBE
Structure: relaxed

The space group is P4/mmm (No. 123) and the conventional cell measures 4.307, 4.307 and 4.044 Å, with angles of 90.00, 90.00 and 90.00 degrees. The distinct sites, in fractional coordinates, are Pr at (0.000, 0.000, 0.000), Ag at (0.500, 0.500, 0.000) and Rh at (0.000, 0.500, 0.500).

Its formation energy is -0.271 eV/atom. For the total energy, the calculation gives -5.854 eV/atom.

=====

No. 9
Compound: Pr4AgRh2
Source: Alexandria
Functional: PBE
Structure: relaxed

The space group is I-42d (No. 122) and the conventional cell measures 9.188, 9.188 and 8.943 Å, with angles of 90.00, 90.00 and 90.00 degrees. The distinct sites, in fractional coordinates, are Pr at (0.063, 0.183, 0.327), Ag at (0.000, 0.000, 0.000) and Rh at (0.130, 0.250, 0.625).

Its formation energy is -0.454 eV/atom. The relative energy among the computed polymorphs is 0.000 eV per atom. For the total energy, the calculation gives -5.693 eV/atom.

=====

No. 10
Compound: Pr2AgRh
Source: Alexandria
Functional: PBE
Structure: relaxed

The space group is P4/mmm (No. 123) and the conventional cell measures 3.636, 3.636 and 7.521 Å, with angles of 90.00, 90.00 and 90.00 degrees. The distinct sites, in fractional coordinates, are Pr at (0.000, 0.000, 0.228), Ag at (0.500, 0.500, 0.500) and Rh at (0.500, 0.500, 0.000).

Its formation energy is -0.438 eV/atom. For the total energy, the calculation gives -5.378 eV/atom.

=====

No. 11
Compound: Pr2Ag3Rh2
Source: Alexandria
Functional: PBE
Structure: relaxed

The space group is C2/m (No. 12) and the conventional cell measures 9.990, 4.161 and 7.278 Å, with angles of 90.00, 96.34 and 90.00 degrees. The distinct sites, in fractional coordinates, are Pr at (0.125, 0.000, 0.338), Ag at (0.000, 0.500, 0.000), Ag at (0.189, 0.000, 0.889) and Rh at (0.089, 0.500, 0.650).

Its formation energy is -0.372 eV/atom. For the total energy, the calculation gives -5.060 eV/atom.

=====

No. 12
Compound: Pr3AgRh8
Source: Alexandria
Functional: PBE
Structure: relaxed

The space group is R3m (No. 160, hexagonal axes) and the conventional cell measures 5.3787, 5.3787 and 26.4792 Å, with angles of 90.00, 90.00 and 120.00 degrees. The distinct sites, in fractional coordinates, are Pr at (0.0000, 0.0000, 0.0000), Pr at (0.0000, 0.0000, 0.1295), Pr at (0.0000, 0.0000, 0.5127), Ag at (0.0000, 0.0000, 0.6344), Rh at (0.0000, 0.0000, 0.3177), Rh at (0.0000, 0.0000, 0.8177), Rh at (0.9998, 0.4999, 0.0671) and Rh at (0.1672, 0.3345, 0.9017).

Its formation energy is -0.453 eV/atom. For the total energy, the calculation gives -6.787 eV/atom.

=====

No. 13
Compound: Pr2AgRh
Source: Alexandria
Functional: PBE
Structure: relaxed

The space group is P2_1/m (No. 11) and the conventional cell measures 5.984, 4.597 and 8.004 Å, with angles of 90.00, 111.10 and 90.00 degrees. The distinct sites, in fractional coordinates, are Pr at (0.211, 0.250, 0.439), Pr at (0.236, 0.250, 0.923), Ag at (0.332, 0.750, 0.212) and Rh at (0.329, 0.750, 0.711).

Its formation energy is -0.476 eV/atom. For the total energy, the calculation gives -5.416 eV/atom.

=====

No. 14
Compound: Pr6AgRh2
Source: Alexandria
Functional: PBE
Structure: relaxed

The space group is C2/m (No. 12) and the conventional cell measures 10.358, 5.286 and 9.251 Å, with angles of 90.00, 99.41 and 90.00 degrees. The distinct sites, in fractional coordinates, are Pr at (0.039, 0.000, 0.341), Pr at (0.155, 0.500, 0.896), Pr at (0.211, 0.500, 0.334), Ag at (0.000, 0.000, 0.000) and Rh at (0.119, 0.500, 0.603).

Its formation energy is -0.323 eV/atom. The relative energy among the computed polymorphs is 0.068 eV per atom. For the total energy, the calculation gives -5.459 eV/atom.

=====

No. 15
Compound: Pr2AgRh
Source: Alexandria
Functional: PBE
Structure: relaxed

The space group is R3m (No. 160, hexagonal axes) and the conventional cell measures 4.1668, 4.1668 and 22.5305 Å, with angles of 90.00, 90.00 and 120.00 degrees. The distinct sites, in fractional coordinates, are Pr at (0.0000, 0.0000, 0.0000), Pr at (0.0000, 0.0000, 0.1930), Ag at (0.0000, 0.0000, 0.4311) and Rh at (0.0000, 0.0000, 0.5957).

Its formation energy is -0.401 eV/atom. For the total energy, the calculation gives -5.342 eV/atom.

=====

No. 16
Compound: Pr6AgRh2
Source: Alexandria
Functional: PBE
Structure: relaxed

The space group is Immm (No. 71) and the conventional cell measures 9.581, 10.105 and 10.753 Å, with angles of 90.00, 90.00 and 90.00 degrees. The distinct sites, in fractional coordinates, are Pr at (0.000, 0.197, 0.228), Pr at (0.194, 0.500, 0.170), Pr at (0.209, 0.322, 0.500), Ag at (0.000, 0.000, 0.000), Ag at (0.000, 0.000, 0.500), Rh at (0.000, 0.338, 0.000) and Rh at (0.000, 0.500, 0.366).

Its formation energy is -0.391 eV/atom. The relative energy among the computed polymorphs is 0.000 eV per atom. For the total energy, the calculation gives -5.528 eV/atom.

=====

No. 17
Compound: Pr2AgSb3Rh4
Source: Alexandria
Functional: PBE
Structure: relaxed

The space group is P-4m2 (No. 115) and the conventional cell measures 4.385, 4.385 and 11.090 Å, with angles of 90.00, 90.00 and 90.00 degrees. The distinct sites, in fractional coordinates, are Pr at (0.000, 0.500, 0.241), Ag at (0.500, 0.500, 0.000), Sb at (0.000, 0.000, 0.000), Sb at (0.000, 0.500, 0.633), Rh at (0.000, 0.000, 0.500), Rh at (0.000, 0.500, 0.861) and Rh at (0.500, 0.500, 0.500).

The value obtained for the formation energy (no corrections) is -0.7049 eV/atom. For the total energy, the calculation gives -6.123 eV/atom.

=====

No. 18
Compound: Pr2AgSn4Rh3
Source: Alexandria
Functional: PBE
Structure: relaxed

The space group is P-4m2 (No. 115) and the conventional cell measures 4.560, 4.560 and 10.845 Å, with angles of 90.00, 90.00 and 90.00 degrees. The distinct sites, in fractional coordinates, are Pr at (0.000, 0.500, 0.244), Ag at (0.000, 0.000, 0.500), Sn at (0.000, 0.000, 0.000), Sn at (0.000, 0.500, 0.636), Sn at (0.500, 0.500, 0.000), Rh at (0.000, 0.500, 0.873) and Rh at (0.500, 0.500, 0.500).

Its formation energy is -0.622 eV/atom. For the total energy, the calculation gives -5.670 eV/atom.

=====

No. 19
Compound: SrPrAgRh
Source: Alexandria
Functional: PBE
Structure: relaxed

The space group is F-43m (No. 216) and the conventional cell measures 7.396, 7.396 and 7.396 Å, with angles of 90.00, 90.00 and 90.00 degrees. The distinct sites, in fractional coordinates, are Sr at (0.000, 0.000, 0.000), Pr at (0.000, 0.000, 0.500), Ag at (0.250, 0.250, 0.750) and Rh at (0.250, 0.250, 0.250).

Its formation energy is -0.300 eV/atom. For the total energy, the calculation gives -4.466 eV/atom.

=====

No. 20
Compound: PrTlAgRh
Source: Alexandria
Functional: PBE
Structure: relaxed

The space group is F-43m (No. 216) and the conventional cell measures 7.053, 7.053 and 7.053 Å, with angles of 90.00, 90.00 and 90.00 degrees. The distinct sites, in fractional coordinates, are Pr at (0.000, 0.000, 0.000), Tl at (0.000, 0.000, 0.500), Ag at (0.250, 0.250, 0.750) and Rh at (0.250, 0.250, 0.250).

Its formation energy is -0.224 eV/atom. For the total energy, the calculation gives -4.561 eV/atom.

=====

Number 1: D(E_F) 6.9 states/eV per cell. Number 2: D(E_F) 17.1 states/eV per cell. Number 3: D(E_F) 39.5 states/eV per cell. Number 4: D(E_F) 11.9 states/eV per cell. Number 5: D(E_F) 39.6 states/eV per cell. Number 6: D(E_F) 38.4 states/eV per cell. Number 7: D(E_F) 30.4 states/eV per cell. Number 8: D(E_F) 5.3 states/eV per cell. Number 9: D(E_F) 21.3 states/eV per cell. Number 10: D(E_F) 3.6 states/eV per cell. Number 11: D(E_F) 7.3 states/eV per cell. Number 12: D(E_F) 30.3 states/eV per cell. Number 13: D(E_F) 5.4 states/eV per cell. Number 14: D(E_F) 16.0 states/eV per cell. Number 15: D(E_F) 5.9 states/eV per cell. Number 16: D(E_F) 34.7 states/eV per cell. Number 17: D(E_F) 5.2 states/eV per cell. Number 18: D(E_F) 6.8 states/eV per cell. Number 19: D(E_F) 9.1 states/eV per cell. Number 20: D(E_F) 14.3 states/eV per cell.